Record 1
Entry from Alexandria: an optimized crystal structure of CaReBr2 (PBE-GGA).

As for the size of the total moment: 11.8 μB per cell. The value obtained for the total energy is -64.9 eV per cell. The offset from the most stable computed form is 1.715 eV per formula unit. For the volume, the calculation gives 21.9 A^3/atom.

Cell: 7.0501 7.0501 7.0501 Å, 90.00 90.00 90.00°
Closest atoms and distances in Å follow each position.
Positions (direct):
Ca: 0.0000 0.0000 0.0000  8 Br 3.05
Ca: 0.0000 0.5000 0.5000  8 Br 3.05
Ca: 0.5000 0.0000 0.5000  8 Br 3.05
Ca: 0.5000 0.5000 0.0000  8 Br 3.05
Re: 0.0000 0.0000 0.5000  8 Br 3.05
Re: 0.0000 0.5000 0.0000  8 Br 3.05
Re: 0.5000 0.0000 0.0000  8 Br 3.05
Re: 0.5000 0.5000 0.5000  8 Br 3.05
Br: 0.2500 0.2500 0.2500  4 Re 3.05, 4 Ca 3.05
Br: 0.2500 0.2500 0.7500  4 Re 3.05, 4 Ca 3.05
Br: 0.2500 0.7500 0.2500  4 Re 3.05, 4 Ca 3.05
Br: 0.2500 0.7500 0.7500  4 Re 3.05, 4 Ca 3.05
Br: 0.7500 0.2500 0.2500  4 Re 3.05, 4 Ca 3.05
Br: 0.7500 0.2500 0.7500  4 Re 3.05, 4 Ca 3.05
Br: 0.7500 0.7500 0.2500  4 Re 3.05, 4 Ca 3.05
Br: 0.7500 0.7500 0.7500  4 Re 3.05, 4 Ca 3.05

Record 2
Entry from Alexandria: an optimized crystal structure of PrSm2Al2 (PBE-GGA).

As for the size of the total moment: 0.0 μB per cell. The value obtained for the total energy is -44.6 eV per cell. The formation energy is -0.122 eV/atom. The offset from the most stable computed form is 0.758 eV per formula unit. For the volume, the calculation gives 29.2 A^3/atom.

Cell: 5.7478 3.7799 13.5039 Å, 90.00 96.23 90.00°
Closest atoms and distances in Å follow each position.
Positions (direct):
Pr: 0.1798 0.2500 0.2326  2 Al 3.23, 2 Sm 3.61
Pr: 0.8202 0.7500 0.7674  2 Al 3.23, 2 Sm 3.61
Sm: 0.2404 0.7500 0.4614  4 Al 3.24-3.29, 4 Sm 3.59, 2 Pr 3.61
Sm: 0.3528 0.2500 0.8893  5 Al 2.97-3.11
Sm: 0.6472 0.7500 0.1107  5 Al 2.97-3.11
Sm: 0.7596 0.2500 0.5386  4 Al 3.24-3.29, 4 Sm 3.59, 2 Pr 3.61
Al: 0.1412 0.7500 0.0376  2 Al 2.62
Al: 0.2900 0.2500 0.6577  5 Sm 3.11-3.29
Al: 0.7100 0.7500 0.3423  5 Sm 3.11-3.29
Al: 0.8588 0.2500 0.9624  2 Al 2.62